A geometry-optimized B7C5 structure. Source: Alexandria via LeMat-Bulk, functional PBE-GGA.

a = 4.7555 Å, b = 4.7555 Å, c = 4.2824 Å
α = 96.54°, β = 96.54°, γ = 119.93°
Last column: nearest neighbours and their distance in Å.
Element x y z (fractional)
B (0.3399, 0.3007, 0.0946)  2 C 1.58-1.59
B (0.6860, 0.0193, 0.0551)  2 C 1.59, 1 B 1.69
B (0.5132, 0.5485, 0.5037)  3 C 1.64-1.74, 1 B 1.84
C (0.8852, 0.8822, 0.5911)  1 C 1.58, 3 B 1.61-1.74
B (0.2152, 0.8465, 0.5037)  3 C 1.64-1.74, 1 B 1.84
C (0.2356, 0.5689, 0.6920)  4 B 1.61-1.73
B (0.8888, 0.2222, 0.5793)  3 C 1.61
B (0.3435, 0.6768, 0.1068)  3 B 1.69-1.77, 1 C 1.73
C (0.9815, 0.9783, 0.9690)  3 B 1.58-1.59, 1 C 1.58
C (0.6450, 0.3148, 0.9690)  3 B 1.58-1.59, 1 C 1.58
B (0.9674, 0.6733, 0.0946)  2 C 1.58-1.59
C (0.5489, 0.2185, 0.5911)  1 C 1.58, 3 B 1.61-1.74

Summary:
M_tot: 0.00 μB per formula unit
volume: 81.7 Å³/f.u.
density of states at the Fermi level: 0.25 states/eV per atom
energy relative to the lowest polymorph listed for this composition: 322 meV/atom
space-group type: Cm, No. 8
energy: -7.252 eV per atom



A geometry-optimized BC structure. Source: Alexandria via LeMat-Bulk, functional PBE-GGA.

a = 4.6820 Å, b = 4.6990 Å, c = 4.7240 Å
α = 100.44°, β = 99.36°, γ = 120.16°
Last column: nearest neighbours and their distance in Å.
Element x y z (fractional)
B (0.8986, 0.5584, 0.8007)  3 C 1.57-1.75
C (0.2060, 0.5546, 0.6627)  5 B 1.58-1.69
B (0.4950, 0.5082, 0.5226)  4 C 1.64-1.72
C (0.8956, 0.8897, 0.6849)  1 C 1.50, 1 B 1.60
B (0.2171, 0.8855, 0.6143)  3 C 1.50-1.60
C (0.5425, 0.2076, 0.6260)  3 B 1.50-1.66
B (0.4064, 0.6655, 0.0063)  3 C 1.58-1.59
B (0.6367, 0.3024, 0.0091)  3 C 1.65-1.71, 1 B 1.81
C (0.3733, 0.3751, 0.1531)  1 C 1.49, 3 B 1.59-1.65
B (0.8392, 0.1684, 0.5089)  4 C 1.60-1.77
C (0.0052, 0.0841, 0.0122)  3 C 1.47-1.50
C (0.7344, 0.0507, 0.1493)  1 C 1.47, 2 B 1.59-1.60

Summary:
M_tot: 0.00 μB per formula unit
volume: 14.1 Å³/f.u.
energy relative to the lowest polymorph listed for this composition: 151 meV/atom
space-group type: P1, No. 1
energy: -7.649 eV per atom



A geometry-optimized BC structure. Source: Alexandria via LeMat-Bulk, functional PBE-GGA.

a = 4.7018 Å, b = 4.6841 Å, c = 4.6589 Å
α = 102.80°, β = 97.00°, γ = 119.79°
Last column: nearest neighbours and their distance in Å.
Element x y z (fractional)
C (0.5498, 0.2078, 0.6171)  1 C 1.54, 3 B 1.58-1.68
B (0.3649, 0.6353, 0.9865)  2 C 1.57-1.61, 1 B 1.69
B (0.6277, 0.3474, 0.9776)  2 C 1.54-1.58
B (0.5138, 0.5095, 0.5095)  3 C 1.64-1.68
B (0.7401, 0.0176, 0.1601)  2 C 1.56-1.58, 1 B 1.69
C (0.1658, 0.5362, 0.6488)  1 C 1.53, 2 B 1.57-1.60
B (0.0361, 0.7044, 0.0300)  1 C 1.59, 2 B 1.75-1.76
C (0.0057, 0.0163, 0.9840)  2 C 1.54-1.57, 2 B 1.58-1.59
B (0.1795, 0.8523, 0.5587)  3 C 1.60-1.64
C (0.8712, 0.8943, 0.6254)  2 C 1.57-1.58, 2 B 1.61-1.64
C (0.8353, 0.1751, 0.5165)  3 C 1.53-1.58, 1 B 1.56
C (0.3603, 0.3539, 0.1358)  1 C 1.54, 3 B 1.54-1.64

Summary:
M_tot: 0.00 μB per formula unit
volume: 13.9 Å³/f.u.
density of states at the Fermi level: 0.15 states/eV per atom
energy relative to the lowest polymorph listed for this composition: 300 meV/atom
space-group type: P1, No. 1
energy: -7.500 eV per atom



A geometry-optimized BC structure. Source: Alexandria via LeMat-Bulk, functional PBE-GGA.

a = 2.6069 Å, b = 2.6069 Å, c = 4.6207 Å
α = 90.00°, β = 90.00°, γ = 120.00°
Last column: nearest neighbours and their distance in Å.
Element x y z (fractional)
C (0.6667, 0.3333, 0.8570)  4 B 1.57-1.68
B (0.3333, 0.6667, 0.0180)  4 C 1.57-1.68
C (0.3333, 0.6667, 0.3570)  4 B 1.57-1.68
B (0.6667, 0.3333, 0.5180)  4 C 1.57-1.68

Summary:
M_tot: 0.00 μB per formula unit
volume: 13.6 Å³/f.u.
density of states at the Fermi level: 0.25 states/eV per atom
energy relative to the lowest polymorph listed for this composition: 348 meV/atom
space-group type: P6_3mc, No. 186
energy: -7.452 eV per atom